First-principles (PBE) data for a relaxed Ti2CrInTc crystal, as listed in Alexandria.

The structure belongs to space group P4/mmm (No. 123); the cell edges are 4.891, 4.891 and 4.849 Å and the angles 90.00°, 90.00° and 90.00°. The distinct sites, in fractional coordinates, are Ti at (0.000, 0.500, 0.000), Cr at (0.000, 0.000, 0.500), In at (0.500, 0.500, 0.000) and Tc at (0.500, 0.500, 0.500).

The value obtained for the calculated formation energy is 2.11 eV/atom.



First-principles (PBE) data for a relaxed KRbRuO4 crystal, as listed in Alexandria.

The structure belongs to space group P2_1/m (No. 11); the cell edges are 6.478, 6.485 and 7.714 Å and the angles 90.00°, 108.68° and 90.00°. The distinct sites, in fractional coordinates, are K at (0.188, 0.250, 0.033), Rb at (0.294, 0.250, 0.565), Ru at (0.255, 0.750, 0.809), O at (0.072, 0.532, 0.760), O at (0.409, 0.750, 0.048) and O at (0.431, 0.750, 0.671).



First-principles (PBE) data for a relaxed Y2InSe crystal, as listed in Alexandria.

The structure belongs to space group P4/mmm (No. 123); the cell edges are 4.250, 4.250 and 6.054 Å and the angles 90.00°, 90.00° and 90.00°. The distinct sites, in fractional coordinates, are Y at (0.000, 0.000, 0.000), Y at (0.500, 0.500, 0.500), In at (0.000, 0.000, 0.500) and Se at (0.500, 0.500, 0.000).

The energy above the most stable polymorph in this dataset comes out at 0.1383 eV/atom.



First-principles (PBE) data for a relaxed CaNbSiB2 crystal, as listed in Alexandria.

The structure belongs to space group P4/mmm (No. 123); the cell edges are 4.100, 4.100 and 4.946 Å and the angles 90.00°, 90.00° and 90.00°. The distinct sites, in fractional coordinates, are Ca at (0.000, 0.000, 0.000), Nb at (0.500, 0.500, 0.000), Si at (0.000, 0.000, 0.500) and B at (0.000, 0.500, 0.500).



First-principles (PBE) data for a relaxed Nd2GaAg crystal, as listed in Alexandria.

The structure belongs to space group Fm-3m (No. 225); the cell edges are 7.471, 7.471 and 7.471 Å and the angles 90.00°, 90.00° and 90.00°. The distinct sites, in fractional coordinates, are Nd at (0.250, 0.250, 0.250), Ga at (0.000, 0.000, 0.000) and Ag at (0.000, 0.000, 0.500).

The value obtained for the calculated formation energy is -0.40 eV/atom.



First-principles (PBE) data for a relaxed SrPt2Au6 crystal, as listed in Alexandria.

The structure belongs to space group P6/mmm (No. 191); the cell edges are 5.7056, 5.7056 and 7.3078 Å and the angles 90.00°, 90.00° and 120.00°. The distinct sites, in fractional coordinates, are Sr at (0.0000, 0.0000, 0.0000), Pt at (0.3333, 0.6667, 0.5000) and Au at (0.0000, 0.5000, 0.1985).

The value obtained for the calculated formation energy is -0.03 eV/atom.



Asked for final energy across the records above, the calculation gives -5.60; -5.76; -5.79; -4.58; -4.26; -3.75 eV/atom in order.
Asked for size of the total moment across the records above, the calculation gives 0.3; 4.0; 0.0; 2.3; 0.2; 0.0 Bohr magnetons per cell in order.